# Cs3Tl3CrBr8

A relaxed Cs3Tl3CrBr8 crystal (PBE, Alexandria).

Cell: 9.954 9.947 9.587 Å, 121.25 90.00 120.02°
Last column: magnetic moment on the atom in μB.
Positions (direct):
Cs 0.500 0.000 0.500  0.00
Cs 0.500 0.500 0.500  0.00
Cs 0.000 0.500 0.500  0.00
Tl 0.000 0.000 0.000  0.00
Tl 0.000 0.500 0.000  0.00
Tl 0.500 0.500 0.000  0.00
Cr 0.000 0.000 0.500  3.65
Br 0.242 0.484 0.226  0.00
Br 0.758 0.516 0.774  0.00
Br 0.802 0.604 0.290  -0.01
Br 0.198 0.396 0.710  -0.01
Br 0.802 0.988 0.290  -0.01
Br 0.198 0.012 0.710  -0.01
Br 0.185 0.988 0.290  -0.01
Br 0.815 0.012 0.710  -0.01

## Properties
Calculated total energy, eV for the cell shown: -50.00
Symmetry: R-3m (166)
Energy relative to the elements, uncorrected, eV/atom: -1.16
Mass density, Mg/m³: 4.30
N(E_F), states/eV per atom: 0.44

***

# NaSiAsBr2

A relaxed NaSiAsBr2 crystal (PBE, Alexandria).

Cell: 5.198 5.198 5.616 Å, 90.00 90.00 90.00°
Last column: magnetic moment on the atom in μB.
Positions (direct):
Na 0.000 0.000 0.000  0.02
As 0.000 0.000 0.500  0.81
Si 0.500 0.500 0.500  -0.06
Br 0.000 0.500 0.000  0.12
Br 0.500 0.000 0.000  0.12

## Properties
Calculated total energy, eV for the cell shown: -11.90
Symmetry: P4/mmm (123)
Energy relative to the elements, uncorrected, eV/atom: 0.57
Offset from the most stable computed form, meV/atom: 743
Mass density, Mg/m³: 3.13
N(E_F), states/eV per atom: 0.78

***

# Sc6In2Ga

A relaxed Sc6In2Ga crystal (PBE, Alexandria).

Cell: 4.790 6.812 8.314 Å, 114.19 106.74 90.00°
Positions (direct):
Sc 0.161 0.404 0.323
Sc 0.839 0.081 0.677
Sc 0.839 0.596 0.677
Sc 0.500 0.237 0.000
Sc 0.161 0.919 0.323
Sc 0.500 0.763 0.000
In 0.665 0.666 0.332
In 0.335 0.334 0.668
Ga 0.000 0.000 0.000

## Properties
Calculated total energy, eV for the cell shown: -47.52
Symmetry: Immm (71)
Mass density, Mg/m³: 4.02
N(E_F), states/eV per atom: 1.44

***

# LaPr3In4

A relaxed LaPr3In4 crystal (PBE, Alexandria).

Cell: 3.916 5.540 11.083 Å, 90.00 90.00 90.00°
Positions (direct):
Pr 0.500 0.000 0.250
Pr 0.500 0.500 0.500
Pr 0.500 0.000 0.750
In 0.000 0.000 0.500
In 0.000 0.500 0.747
In 0.000 0.000 0.000
In 0.000 0.500 0.253
La 0.500 0.500 0.000

## Properties
Calculated total energy, eV for the cell shown: -34.21
Symmetry: Pmmm (47)
Offset from the most stable computed form, meV/atom: 0
Mass density, Mg/m³: 7.05
N(E_F), states/eV per atom: 0.51

***

# NdFe9Ge4

A relaxed NdFe9Ge4 crystal (PBE, Alexandria).

Cell: 8.075 8.075 8.228 Å, 119.39 119.39 90.00°
Last column: magnetic moment on the atom in μB.
Positions (direct):
Nd 0.750 0.750 0.500  -0.17
Nd 0.250 0.250 0.500  -0.17
Fe 0.063 0.201 0.000  2.08
Fe 0.937 0.799 0.000  2.08
Fe 0.563 0.299 0.000  2.08
Fe 0.437 0.701 0.000  2.08
Fe 0.299 0.437 0.000  2.08
Fe 0.701 0.563 0.000  2.08
Fe 0.201 0.937 0.000  2.08
Fe 0.799 0.063 0.000  2.08
Fe 0.000 0.500 0.000  2.12
Fe 0.500 0.000 0.000  2.12
Fe 0.788 0.288 0.350  1.92
Fe 0.563 0.063 0.350  1.92
Fe 0.937 0.212 0.650  1.92
Fe 0.712 0.437 0.650  1.92
Fe 0.212 0.712 0.650  1.92
Fe 0.437 0.937 0.650  1.92
Fe 0.288 0.563 0.350  1.92
Fe 0.063 0.788 0.350  1.92
Ge 0.309 0.809 0.254  -0.10
Ge 0.946 0.446 0.254  -0.10
Ge 0.554 0.691 0.746  -0.10
Ge 0.191 0.054 0.746  -0.10
Ge 0.691 0.191 0.746  -0.10
Ge 0.054 0.554 0.746  -0.10
Ge 0.809 0.946 0.254  -0.10
Ge 0.446 0.309 0.254  -0.10

## Properties
Calculated total energy, eV for the cell shown: -204.50
Symmetry: I4/mcm (140)
Mass density, Mg/m³: 8.06
N(E_F), states/eV per atom: 0.90

***

# ThZrTe3

A relaxed ThZrTe3 crystal (PBE, Alexandria).

Cell: 7.268 9.309 9.309 Å, 94.71 98.28 98.28°
Positions (direct):
Th 0.003 0.413 0.243
Th 0.497 0.757 0.587
Th 0.997 0.587 0.757
Th 0.503 0.243 0.413
Zr 0.250 0.049 0.951
Zr 0.750 0.951 0.049
Zr 0.250 0.806 0.194
Zr 0.750 0.194 0.806
Te 0.611 0.233 0.081
Te 0.889 0.919 0.767
Te 0.389 0.767 0.919
Te 0.111 0.081 0.233
Te 0.867 0.655 0.064
Te 0.633 0.936 0.345
Te 0.133 0.345 0.936
Te 0.367 0.064 0.655
Te 0.438 0.543 0.288
Te 0.062 0.712 0.457
Te 0.562 0.457 0.712
Te 0.938 0.288 0.543

## Properties
Calculated total energy, eV for the cell shown: -121.45
Symmetry: C2/c (15)
Energy relative to the elements, uncorrected, eV/atom: -0.99
Offset from the most stable computed form, meV/atom: 0
Mass density, Mg/m³: 7.65
N(E_F), states/eV per atom: 0.55

***

# RbHgAsSe3

A relaxed RbHgAsSe3 crystal (PBE, Alexandria).

Cell: 4.184 8.968 10.525 Å, 108.07 90.00 90.00°
Positions (direct):
Rb 0.250 0.215 0.256
Rb 0.750 0.785 0.744
Hg 0.250 0.103 0.626
Hg 0.750 0.897 0.374
As 0.250 0.665 0.108
As 0.750 0.335 0.892
Se 0.750 0.864 0.111
Se 0.250 0.136 0.889
Se 0.250 0.775 0.470
Se 0.750 0.225 0.530
Se 0.750 0.458 0.132
Se 0.250 0.542 0.868

## Properties
Calculated total energy, eV for the cell shown: -38.04
Symmetry: P2_1/m (11)
Energy relative to the elements, uncorrected, eV/atom: -0.44
Mass density, Mg/m³: 5.29

***

# YHo3Tc

A relaxed YHo3Tc crystal (PBE, Alexandria).

Cell: 7.244 7.244 7.247 Å, 106.93 114.11 107.46°
Positions (direct):
Y 0.707 0.053 0.760
Y 0.293 0.947 0.240
Ho 0.849 0.055 0.297
Ho 0.242 0.448 0.297
Ho 0.758 0.552 0.703
Ho 0.705 0.446 0.151
Ho 0.151 0.945 0.703
Ho 0.295 0.554 0.849
Tc 0.626 0.748 0.374
Tc 0.374 0.252 0.626

## Properties
Calculated total energy, eV for the cell shown: -61.40
Symmetry: C2/m (12)
Offset from the most stable computed form, meV/atom: 0
Mass density, Mg/m³: 7.77
N(E_F), states/eV per atom: 0.96

***

# LiDyLuCu

A relaxed LiDyLuCu crystal (PBE, Alexandria).

Cell: 4.965 4.965 4.965 Å, 60.00 60.00 60.00°
Positions (direct):
Lu 0.500 0.500 0.500
Li 0.750 0.750 0.750
Cu 0.250 0.250 0.250
Dy 0.000 0.000 0.000

## Properties
Calculated total energy, eV for the cell shown: -15.34
Symmetry: F-43m (216)
Mass density, Mg/m³: 7.83
N(E_F), states/eV per atom: 0.88

***

# Zr3SF

A relaxed Zr3SF crystal (PBE, Alexandria).

Cell: 4.467 4.467 4.467 Å, 90.00 90.00 90.00°
Last column: magnetic moment on the atom in μB.
Positions (direct):
S 0.500 0.500 0.500  0.00
Zr 0.000 0.500 0.000  0.14
Zr 0.000 0.000 0.500  0.14
Zr 0.500 0.000 0.000  0.18
F 0.000 0.000 0.000  0.01

## Properties
Calculated total energy, eV for the cell shown: -33.97
Symmetry: Pm-3m (221)
Energy relative to the elements, uncorrected, eV/atom: -0.47
Offset from the most stable computed form, meV/atom: 0
Mass density, Mg/m³: 6.05
N(E_F), states/eV per atom: 1.16

***

# Zr2AsOs

A relaxed Zr2AsOs crystal (PBE, Alexandria).

Cell: 9.014 9.014 9.014 Å, 20.33 20.33 20.33°
Positions (direct):
As 0.490 0.490 0.490
Os 0.760 0.760 0.760
Zr 0.006 0.006 0.006
Zr 0.244 0.244 0.244

## Properties
Calculated total energy, eV for the cell shown: -32.84
Symmetry: R3m (160)
Mass density, Mg/m³: 9.60
N(E_F), states/eV per atom: 0.75

***

# TbHfPd

A relaxed TbHfPd crystal (PBE, Alexandria).

Cell: 3.422 3.422 6.194 Å, 106.03 106.03 90.00°
Positions (direct):
Tb 0.992 0.992 0.984
Hf 0.691 0.691 0.381
Pd 0.317 0.317 0.635

## Properties
Calculated total energy, eV for the cell shown: -21.05
Symmetry: I4mm (107)
Mass density, Mg/m³: 11.04
N(E_F), states/eV per atom: 1.27

***

# TbNd3Dy2Te6

A relaxed TbNd3Dy2Te6 crystal (PBE, Alexandria).

Cell: 4.385 8.955 9.943 Å, 104.13 102.74 90.00°
Positions (direct):
Tb 0.500 0.000 0.000
Nd 0.500 0.500 0.000
Nd 0.834 0.168 0.668
Nd 0.166 0.832 0.332
Dy 0.834 0.668 0.667
Dy 0.166 0.332 0.333
Te 0.335 0.910 0.671
Te 0.670 0.576 0.339
Te 0.665 0.090 0.329
Te 0.003 0.244 0.006
Te 0.997 0.756 0.994
Te 0.330 0.424 0.661

## Properties
Calculated total energy, eV for the cell shown: -63.31
Symmetry: C2/m (12)
Energy relative to the elements, uncorrected, eV/atom: -1.36
Mass density, Mg/m³: 7.58
N(E_F), states/eV per atom: 0.51

***

# Tb2Sm4Y2Ho

A relaxed Tb2Sm4Y2Ho crystal (PBE, Alexandria).

Cell: 5.076 8.026 8.026 Å, 107.49 90.00 108.43°
Positions (direct):
Tb 0.334 0.667 0.000
Tb 0.666 0.333 0.000
Sm 0.778 0.556 0.668
Sm 0.222 0.444 0.332
Sm 0.555 0.110 0.331
Sm 0.445 0.890 0.669
Y 0.889 0.777 0.331
Y 0.111 0.223 0.669
Ho 0.000 0.000 0.000

## Properties
Calculated total energy, eV for the cell shown: -45.49
Symmetry: C2/m (12)
Mass density, Mg/m³: 7.12
N(E_F), states/eV per atom: 1.43

***

# SmDy3Er3

A relaxed SmDy3Er3 crystal (PBE, Alexandria).

Cell: 5.639 9.532 9.532 Å, 120.00 90.00 90.00°
Positions (direct):
Sm 0.250 0.667 0.333
Sm 0.750 0.333 0.667
Dy 0.250 0.810 0.762
Dy 0.250 0.238 0.048
Dy 0.250 0.952 0.190
Dy 0.750 0.190 0.238
Dy 0.750 0.762 0.952
Dy 0.750 0.048 0.810
Er 0.750 0.619 0.523
Er 0.750 0.477 0.095
Er 0.750 0.905 0.381
Er 0.250 0.381 0.477
Er 0.250 0.523 0.905
Er 0.250 0.095 0.619

## Properties
Calculated total energy, eV for the cell shown: -64.30
Symmetry: P6_3/m (176)
Offset from the most stable computed form, meV/atom: 0
Mass density, Mg/m³: 8.53
N(E_F), states/eV per atom: 2.01

***

# Ti2V4Mo5

A relaxed Ti2V4Mo5 crystal (PBE, Alexandria).

Cell: 2.734 6.732 11.757 Å, 96.76 129.28 81.40°
Positions (direct):
Ti 0.592 0.279 0.820
Ti 0.408 0.721 0.180
V 0.238 0.180 0.544
V 0.063 0.640 0.908
V 0.762 0.820 0.456
V 0.937 0.360 0.092
Mo 0.679 0.548 0.636
Mo 0.321 0.452 0.364
Mo 0.119 0.911 0.723
Mo 0.500 0.000 0.000
Mo 0.881 0.089 0.277

## Properties
Calculated total energy, eV for the cell shown: -107.24
Symmetry: P-1 (2)
Mass density, Mg/m³: 7.82
N(E_F), states/eV per atom: 1.30

***

# Li5Cd3Pb3

A relaxed Li5Cd3Pb3 crystal (PBE, Alexandria).

Cell: 3.226 9.875 9.875 Å, 120.00 90.00 90.00°
Positions (direct):
Li 0.500 0.667 0.333
Li 0.500 0.333 0.667
Li 0.500 0.330 0.000
Li 0.500 0.670 0.670
Li 0.500 0.000 0.330
Cd 0.500 0.831 0.000
Cd 0.500 0.169 0.169
Cd 0.500 0.000 0.831
Pb 0.000 0.570 0.000
Pb 0.000 0.000 0.570
Pb 0.000 0.430 0.430

## Properties
Calculated total energy, eV for the cell shown: -24.08
Symmetry: P-62m (189)
Mass density, Mg/m³: 6.06
N(E_F), states/eV per atom: 0.29

***

# PrThCSe

A relaxed PrThCSe crystal (PBE, Alexandria).

Cell: 3.905 3.906 7.429 Å, 90.00 105.23 120.00°
Positions (direct):
Pr 0.498 0.147 0.661
Th 0.099 0.948 0.062
C 0.316 0.556 0.888
Se 0.964 0.380 0.359

## Properties
Calculated total energy, eV for the cell shown: -29.01
Symmetry: R3m (160)
Energy relative to the elements, uncorrected, eV/atom: -1.02
Mass density, Mg/m³: 8.24
N(E_F), states/eV per atom: 0.71

***

# CsSn2S3

A relaxed CsSn2S3 crystal (PBE, Alexandria).

Cell: 3.838 8.212 11.678 Å, 90.00 90.00 90.00°
Positions (direct):
Cs 0.000 0.001 0.860
Cs 0.000 0.501 0.140
Sn 0.000 0.001 0.229
Sn 0.500 0.068 0.518
Sn 0.000 0.501 0.771
Sn 0.500 0.568 0.482
S 0.500 0.132 0.104
S 0.500 0.286 0.685
S 0.000 0.213 0.395
S 0.500 0.632 0.896
S 0.500 0.786 0.315
S 0.000 0.713 0.605

## Properties
Calculated total energy, eV for the cell shown: -49.57
Symmetry: Pmc2_1 (26)
Energy relative to the elements, uncorrected, eV/atom: -0.59
Mass density, Mg/m³: 4.21
N(E_F), states/eV per atom: 0.35

***

# K2ZnAu5

A relaxed K2ZnAu5 crystal (PBE, Alexandria).

Cell: 7.243 6.445 6.222 Å, 63.32 54.40 90.00°
Positions (direct):
K 0.178 0.614 0.645
K 0.733 0.416 0.533
Zn 0.086 0.043 0.828
Au 0.729 0.820 0.925
Au 0.678 0.073 0.242
Au 0.346 0.820 0.925
Au 0.080 0.073 0.242
Au 0.393 0.365 0.215

## Properties
Calculated total energy, eV for the cell shown: -21.52
Symmetry: Cm (8)
Mass density, Mg/m³: 9.52
N(E_F), states/eV per atom: 0.33

***

# SrTl2RuO6

A relaxed SrTl2RuO6 crystal (PBE, Alexandria).

Cell: 6.236 6.201 6.201 Å, 120.00 90.00 90.00°
Positions (direct):
Sr 0.500 0.000 0.000
Tl 0.007 0.333 0.667
Tl 0.993 0.667 0.333
Ru 0.000 0.000 0.000
O 0.819 0.144 0.289
O 0.819 0.144 0.856
O 0.819 0.711 0.856
O 0.181 0.856 0.144
O 0.181 0.289 0.144
O 0.181 0.856 0.711

## Properties
Calculated total energy, eV for the cell shown: -56.07
Symmetry: P-3m1 (164)
Energy relative to the elements, uncorrected, eV/atom: -1.06
Mass density, Mg/m³: 5.54
N(E_F), states/eV per atom: 0.51

***

# TbSmHoSc

A relaxed TbSmHoSc crystal (PBE, Alexandria).

Cell: 3.763 5.623 6.683 Å, 114.88 73.62 90.00°
Positions (direct):
Tb 0.653 0.411 0.822
Sm 0.419 0.140 0.279
Ho 0.193 0.872 0.743
Sc 0.920 0.642 0.285

## Properties
Calculated total energy, eV for the cell shown: -19.87
Symmetry: Cm (8)
Offset from the most stable computed form, meV/atom: 0
Mass density, Mg/m³: 7.07
N(E_F), states/eV per atom: 1.75

***

# ThAgHg

A relaxed ThAgHg crystal (PBE, Alexandria).

Cell: 3.525 3.525 6.382 Å, 106.03 106.03 90.00°
Positions (direct):
Ag 0.630 0.630 0.259
Hg 0.267 0.267 0.534
Th 0.954 0.954 0.907

## Properties
Calculated total energy, eV for the cell shown: -10.91
Symmetry: I4mm (107)
Mass density, Mg/m³: 12.30
N(E_F), states/eV per atom: 0.87